# ZrNiN

A relaxed ZrNiN crystal (PBE-GGA, Alexandria).

abc: 4.5026 3.7359 4.5594
angles: 90.00 90.00 90.00
Closest atoms and distances in Å follow each position.
Positions (direct):
Zr1 0.2500 0.0000 0.2450  4 N 2.20-2.36
Zr2 0.7500 0.0000 0.7550  4 N 2.20-2.36
Ni1 0.2500 0.5000 0.7031  2 N 1.89
Ni2 0.7500 0.5000 0.2969  2 N 1.89
N1 0.2500 0.0000 0.7620  2 Ni 1.89
N2 0.7500 0.0000 0.2380  2 Ni 1.89

- Symmetry: Pmma (51)
- Formation energy from raw total energies: -980 meV per atom
- Uncorrected energy: -8.53 eV/atom

# ZrNi2N

A relaxed ZrNi2N crystal (PBE-GGA, Alexandria).

abc: 4.4326 9.7277 4.5216
angles: 90.00 90.00 90.00
Closest atoms and distances in Å follow each position.
Positions (direct):
Ni1 0.5000 0.0483 0.0377  1 N 1.96
Ni2 0.0000 0.0523 0.3978  1 N 1.98
Ni3 0.0000 0.9477 0.8978  1 N 1.98
Ni4 0.0000 0.4517 0.5377  1 N 1.96
Ni5 0.5000 0.5523 0.3978  1 N 1.98
Ni6 0.0000 0.5483 0.0377  1 N 1.96
Ni7 0.5000 0.4477 0.8978  1 N 1.98
Ni8 0.5000 0.9517 0.5377  1 N 1.96
N1 0.5000 0.2453 0.9427  2 Ni 1.96-1.98
N2 0.0000 0.2547 0.4427  2 Ni 1.96-1.98
N3 0.5000 0.7547 0.4427  2 Ni 1.96-1.98
N4 0.0000 0.7453 0.9427  2 Ni 1.96-1.98
Zr1 0.5000 0.2593 0.4446  4 N 2.22-2.27
Zr2 0.0000 0.7593 0.4446  4 N 2.22-2.27
Zr3 0.5000 0.7407 0.9446  4 N 2.22-2.27
Zr4 0.0000 0.2407 0.9446  4 N 2.22-2.27

- Symmetry: Cmc2_1 (36)
- Formation energy from raw total energies: -645 meV per atom
- Uncorrected energy: -7.75 eV/atom

# Zr4Ni2N

A relaxed Zr4Ni2N crystal (PBE-GGA, Alexandria).

abc: 8.6576 8.6576 8.6576
angles: 60.00 60.00 60.00
Closest atoms and distances in Å follow each position.
Positions (direct):
N1 0.1250 0.1250 0.6250  6 Zr 2.28
N2 0.6250 0.1250 0.1250  6 Zr 2.28
N3 0.1250 0.1250 0.1250  6 Zr 2.28
N4 0.1250 0.6250 0.1250  6 Zr 2.28
Zr1 0.1833 0.8167 0.8167  2 N 2.28
Zr2 0.1250 0.6250 0.6250  6 Ni 2.70
Zr3 0.6250 0.6250 0.6250  6 Ni 2.70
Zr4 0.0667 0.4333 0.0667  2 N 2.28
Zr5 0.0667 0.4333 0.4333  2 N 2.28
Zr6 0.6250 0.6250 0.1250  6 Ni 2.70
Zr7 0.4333 0.0667 0.0667  2 N 2.28
Zr8 0.1833 0.1833 0.8167  2 N 2.28
Zr9 0.4333 0.0667 0.4333  2 N 2.28
Zr10 0.6250 0.1250 0.6250  6 Ni 2.70
Zr11 0.4333 0.4333 0.0667  2 N 2.28
Zr12 0.8167 0.1833 0.1833  2 N 2.28
Zr13 0.8167 0.8167 0.1833  2 N 2.28
Zr14 0.1833 0.8167 0.1833  2 N 2.28
Zr15 0.8167 0.1833 0.8167  2 N 2.28
Zr16 0.0667 0.0667 0.4333  2 N 2.28
Ni1 0.4104 0.4104 0.4104  6 Zr 2.70-2.79
Ni2 0.7687 0.4104 0.4104  6 Zr 2.70-2.79
Ni3 0.4104 0.7687 0.4104  6 Zr 2.70-2.79
Ni4 0.8396 0.4813 0.8396  6 Zr 2.70-2.79
Ni5 0.4813 0.8396 0.8396  6 Zr 2.70-2.79
Ni6 0.4104 0.4104 0.7687  6 Zr 2.70-2.79
Ni7 0.8396 0.8396 0.8396  6 Zr 2.70-2.79
Ni8 0.8396 0.8396 0.4813  6 Zr 2.70-2.79

- Symmetry: Fd-3m (227)
- Formation energy from raw total energies: -773 meV per atom
- E above lowest polymorph: 0.00 eV/f.u.
- Uncorrected energy: -8.50 eV/atom

# ZrNi2N

A relaxed ZrNi2N crystal (PBE-GGA, Alexandria).

abc: 4.3491 8.7238 4.9444
angles: 90.00 90.00 90.00
Closest atoms and distances in Å follow each position.
Positions (direct):
Zr1 0.0000 0.7873 0.0708  3 N 2.23-2.32
Zr2 0.0000 0.2127 0.5708  3 N 2.23-2.32
Zr3 0.5000 0.2873 0.0708  3 N 2.23-2.32
Zr4 0.5000 0.7127 0.5708  3 N 2.23-2.32
Ni1 0.5000 0.0123 0.3695  2 N 1.98-2.00
Ni2 0.5000 0.9877 0.8695  2 N 1.98-2.00
Ni3 0.5000 0.5821 0.0934  1 N 2.11
Ni4 0.0000 0.0821 0.0934  1 N 2.11
Ni5 0.5000 0.4179 0.5934  1 N 2.11
Ni6 0.0000 0.4877 0.8695  2 N 1.98-2.00
Ni7 0.0000 0.9179 0.5934  1 N 2.11
Ni8 0.0000 0.5123 0.3695  2 N 1.98-2.00
N1 0.5000 0.8221 0.1435  3 Ni 1.98-2.11
N2 0.5000 0.1779 0.6435  3 Ni 1.98-2.11
N3 0.0000 0.3221 0.1435  3 Ni 1.98-2.11
N4 0.0000 0.6779 0.6435  3 Ni 1.98-2.11

- Symmetry: Cmc2_1 (36)
- Formation energy from raw total energies: -574 meV per atom
- Uncorrected energy: -7.68 eV/atom

# Zr6NiN

A relaxed Zr6NiN crystal (PBE-GGA, Alexandria).

abc: 5.7730 6.0464 6.1690
angles: 65.63 63.88 58.53
Closest atoms and distances in Å follow each position.
Positions (direct):
Zr1 0.9329 0.6171 0.2278  1 N 2.29
Zr2 0.5797 0.2305 0.2365  1 N 2.23, 1 Ni 2.50
Zr3 0.4203 0.7695 0.7635  1 N 2.23, 1 Ni 2.50
Zr4 0.7620 0.0478 0.7620  1 N 2.27
Zr5 0.0671 0.3829 0.7722  1 N 2.29
Zr6 0.2380 0.9522 0.2380  1 N 2.27
Ni1 0.5000 0.5000 0.5000  6 Zr 2.50-2.60
N1 0.0000 0.0000 0.0000  6 Zr 2.23-2.29

- Symmetry: P-1 (2)
- Formation energy from raw total energies: -389 meV per atom
- Uncorrected energy: -8.56 eV/atom

# Zr3NiN

A relaxed Zr3NiN crystal (PBE-GGA, Alexandria).

abc: 4.4159 4.4159 4.4159
angles: 90.00 90.00 90.00
Closest atoms and distances in Å follow each position.
Positions (direct):
Zr1 0.0000 0.5000 0.0000  2 N 2.21
Zr2 0.0000 0.0000 0.5000  2 N 2.21
Zr3 0.5000 0.0000 0.0000  2 N 2.21
Ni1 0.5000 0.5000 0.5000  12 Zr 3.12
N1 0.0000 0.0000 0.0000  6 Zr 2.21

- Symmetry: Pm-3m (221)
- Formation energy from raw total energies: -704 meV per atom
- Uncorrected energy: -8.65 eV/atom